A relaxed ErLuCoRu crystal. Source: the Alexandria database, functional PBE-GGA. Values from VASP.

The calculation puts the density of states at the Fermi level at 3.37 states/eV per cell. The value obtained for the energy of formation from the pure elements is -0.3452 eV/atom. As for the crystal system: cubic.

Cell and atoms, written as Quantum ESPRESSO input:
```
&SYSTEM
  ibrav = 0, nat = 4, ntyp = 4
/
ATOMIC_SPECIES
Ru 101.07 Ru.upf
Lu 174.97 Lu.upf
Co 58.93 Co.upf
Er 167.26 Er.upf
CELL_PARAMETERS angstrom
-0.2949 -0.3904 -4.6668
3.9063 -0.3443 -2.5771
1.0831 -4.0604 -2.0878
ATOMIC_POSITIONS angstrom
Ru 1.1736 -1.1988 -2.3329
Lu 2.3472 -2.3976 -4.6659
Co 3.5209 -3.5964 -6.9988
Er 0.0000 0.0000 0.0000
```